Entry 1:
Sm8Rh3SeI4: relaxed, PBE-GGA.

Summary:
The magnetization comes out at 0.000 μB/atom. The calculation puts the total energy at -85.709 eV/f.u. As for the space group: R-3m, No. 166. The calculation puts the uncorrected formation energy at -1.01 eV/atom.

Cell: 9.308 9.308 9.308 Å, 53.93 53.93 53.93°
Fractional coordinates of all 16 atoms:
Sm  0.208  0.739  0.739
Sm  0.228  0.228  0.228
Sm  0.261  0.261  0.792
Sm  0.261  0.792  0.261
Sm  0.739  0.208  0.739
Sm  0.739  0.739  0.208
Sm  0.772  0.772  0.772
Sm  0.792  0.261  0.261
Rh  0.000  0.000  0.500
Rh  0.000  0.500  0.000
Rh  0.500  0.000  0.000
Se  0.500  0.500  0.500
I  0.000  0.000  0.000
I  0.000  0.500  0.500
I  0.500  0.000  0.500
I  0.500  0.500  0.000

=====

Entry 2:
Pr2TiAs4Pt3: relaxed, PBE-GGA.

Summary:
The magnetization comes out at 0.111 μB/atom. The calculation puts the total energy at -63.227 eV/f.u. As for the space group: P-4m2, No. 115. The calculation puts the formation enthalpy at 0 K at -905.3 meV per atom.

Cell: 4.398 4.398 10.396 Å, 90.00 90.00 90.00°
Fractional coordinates of all 10 atoms:
Pr  0.000  0.500  0.237
Pr  0.500  0.000  0.763
Ti  0.000  0.000  0.500
As  0.000  0.000  0.000
As  0.000  0.500  0.634
As  0.500  0.000  0.366
As  0.500  0.500  0.000
Pt  0.000  0.500  0.875
Pt  0.500  0.000  0.125
Pt  0.500  0.500  0.500

=====

Entry 3:
Ac4Tb2Dy: relaxed, PBE-GGA.

Summary:
The magnetization comes out at 0.000 μB/atom. The calculation puts the total energy at -28.858 eV/f.u. As for the space group: Fdd2, No. 43. The calculation puts the formation enthalpy at 0 K at 205.5 meV per atom.

Cell: 12.430 7.569 13.683 Å, 64.24 33.26 82.50°
Fractional coordinates of all 14 atoms:
Ac  0.022  0.978  0.788
Ac  0.038  0.462  0.272
Ac  0.041  0.467  0.769
Ac  0.462  0.038  0.228
Ac  0.467  0.041  0.723
Ac  0.481  0.527  0.209
Ac  0.527  0.481  0.783
Ac  0.978  0.022  0.212
Tb  0.153  0.600  0.900
Tb  0.350  0.903  0.097
Tb  0.600  0.153  0.347
Tb  0.903  0.350  0.650
Dy  0.626  0.626  0.374
Dy  0.876  0.876  0.624

=====

Entry 4:
Li2LaP: relaxed, PBE-GGA.

Summary:
The magnetization comes out at 0.000 μB/atom. The calculation puts the total energy at -15.183 eV/f.u. As for the space group: Cmmm, No. 65. The calculation puts the formation enthalpy at 0 K at -254.5 meV per atom.

Cell: 5.336 5.349 5.998 Å, 90.00 90.00 90.00°
Fractional coordinates of all 8 atoms:
Li  0.000  0.000  0.182
Li  0.000  0.000  0.818
Li  0.500  0.500  0.182
Li  0.500  0.500  0.818
La  0.000  0.500  0.500
La  0.500  0.000  0.500
P  0.000  0.500  0.000
P  0.500  0.000  0.000

=====

Entry 5:
Sb2IrSe: relaxed, PBE-GGA.

Summary:
The magnetization comes out at 0.000 μB/atom. The calculation puts the total energy at -19.993 eV/f.u. As for the space group: Immm, No. 71. The calculation puts the uncorrected formation energy at 0.15 eV/atom.

Cell: 3.257 4.581 12.232 Å, 90.00 90.00 90.00°
Fractional coordinates of all 8 atoms:
Sb  0.000  0.000  0.179
Sb  0.000  0.000  0.821
Sb  0.500  0.500  0.321
Sb  0.500  0.500  0.679
Ir  0.000  0.500  0.500
Ir  0.500  0.000  0.000
Se  0.000  0.500  0.000
Se  0.500  0.000  0.500

=====

Entry 6:
TaGeSb2S: relaxed, PBE-GGA.

Summary:
The magnetization comes out at 0.000 μB/atom. The calculation puts the total energy at -22.702 eV/f.u. As for the space group: P4/mmm, No. 123. The calculation puts the uncorrected formation energy at 1.23 eV/atom.

Cell: 5.265 5.265 4.910 Å, 90.00 90.00 90.00°
Fractional coordinates of all 5 atoms:
Ta  0.000  0.000  0.000
Ge  0.000  0.000  0.500
Sb  0.000  0.500  0.500
Sb  0.500  0.000  0.500
S  0.500  0.500  0.000

=====

Entry 7:
TcPW2Au: relaxed, PBE-GGA.

Summary:
The magnetization comes out at 0.100 μB/atom. The calculation puts the total energy at -30.905 eV/f.u. As for the space group: P4/mmm, No. 123. The calculation puts the formation enthalpy at 0 K at 2810.9 meV per atom.

Cell: 4.823 4.823 4.864 Å, 90.00 90.00 90.00°
Fractional coordinates of all 5 atoms:
Tc  0.000  0.000  0.000
P  0.500  0.500  0.000
W  0.000  0.500  0.500
W  0.500  0.000  0.500
Au  0.000  0.000  0.500

=====

Entry 8:
Tb3Pa5P8: relaxed, PBE-GGA.

Summary:
The magnetization comes out at 0.000 μB/atom. The calculation puts the total energy at -127.400 eV/f.u. As for the space group: R-3m, No. 166. The calculation puts the formation enthalpy at 0 K at -1421.9 meV per atom.

Cell: 7.970 7.970 7.970 Å, 59.94 59.94 59.94°
Fractional coordinates of all 16 atoms:
Tb  0.000  0.500  0.500
Tb  0.500  0.000  0.500
Tb  0.500  0.500  0.000
Pa  0.000  0.000  0.000
Pa  0.000  0.000  0.500
Pa  0.000  0.500  0.000
Pa  0.500  0.000  0.000
Pa  0.500  0.500  0.500
P  0.248  0.248  0.248
P  0.248  0.750  0.750
P  0.250  0.250  0.752
P  0.250  0.752  0.250
P  0.750  0.248  0.750
P  0.750  0.750  0.248
P  0.752  0.250  0.250
P  0.752  0.752  0.752

=====

Entry 9:
DyLuThTl: relaxed, PBE-GGA.

Summary:
The magnetization comes out at 0.241 μB/atom. The calculation puts the total energy at -18.542 eV/f.u. As for the space group: F-43m, No. 216. The calculation puts the formation enthalpy at 0 K at 91.9 meV per atom.

Cell: 7.706 7.706 7.706 Å, 90.00 90.00 90.00°
Fractional coordinates of all 16 atoms:
Dy  0.000  0.000  0.000
Dy  0.000  0.500  0.500
Dy  0.500  0.000  0.500
Dy  0.500  0.500  0.000
Lu  0.000  0.000  0.500
Lu  0.000  0.500  0.000
Lu  0.500  0.000  0.000
Lu  0.500  0.500  0.500
Th  0.250  0.250  0.250
Th  0.250  0.750  0.750
Th  0.750  0.250  0.750
Th  0.750  0.750  0.250
Tl  0.250  0.250  0.750
Tl  0.250  0.750  0.250
Tl  0.750  0.250  0.250
Tl  0.750  0.750  0.750

=====

Entry 10:
NaPm4TmSe8: relaxed, PBE-GGA.

Summary:
The magnetization comes out at 0.000 μB/atom. The calculation puts the total energy at -77.321 eV/f.u. As for the space group: R3m, No. 160. The calculation puts the uncorrected formation energy at -1.76 eV/atom.

Cell: 8.557 8.557 8.557 Å, 60.76 60.76 60.76°
Fractional coordinates of all 14 atoms:
Na  0.000  0.000  0.000
Pm  0.109  0.627  0.627
Pm  0.246  0.246  0.246
Pm  0.627  0.109  0.627
Pm  0.627  0.627  0.109
Tm  0.628  0.628  0.628
Se  0.381  0.381  0.381
Se  0.387  0.387  0.845
Se  0.387  0.845  0.387
Se  0.403  0.858  0.858
Se  0.845  0.387  0.387
Se  0.858  0.403  0.858
Se  0.858  0.858  0.403
Se  0.864  0.864  0.864

=====

Entry 11:
Y2BiSb2: relaxed, PBE-GGA.

Summary:
The magnetization comes out at 0.000 μB/atom. The calculation puts the total energy at -28.152 eV/f.u. As for the space group: I4/mmm, No. 139. The calculation puts the uncorrected formation energy at -0.62 eV/atom.

Cell: 5.856 5.856 9.322 Å, 90.00 90.00 90.00°
Fractional coordinates of all 10 atoms:
Y  0.000  0.500  0.250
Y  0.000  0.500  0.750
Y  0.500  0.000  0.250
Y  0.500  0.000  0.750
Bi  0.000  0.000  0.000
Bi  0.500  0.500  0.500
Sb  0.000  0.000  0.343
Sb  0.000  0.000  0.657
Sb  0.500  0.500  0.157
Sb  0.500  0.500  0.843

=====

Entry 12:
Tb2SmTl2Hg2: relaxed, PBE-GGA.

Summary:
The magnetization comes out at 0.000 μB/atom. The calculation puts the total energy at -20.780 eV/f.u. As for the space group: R-3m, No. 166. The calculation puts the formation enthalpy at 0 K at -209.1 meV per atom.

Cell: 9.391 9.391 9.391 Å, 30.92 30.92 30.92°
Fractional coordinates of all 7 atoms:
Tb  0.133  0.133  0.133
Tb  0.867  0.867  0.867
Sm  0.000  0.000  0.000
Tl  0.272  0.272  0.272
Tl  0.728  0.728  0.728
Hg  0.435  0.435  0.435
Hg  0.565  0.565  0.565

=====

Question: Number 2 is which compound?
Answer: Pr2TiAs4Pt3

=====

Question: Look up the magnetization of the first one.
Answer: 0.000 μB/atom